--- A ---
The following is a DFT calculation (GGA-PBEsol) of crystalline TlAs2Br at its relaxed geometry.

The density is 7.42 g/cm3. As for the density of states at the Fermi level: 6.8 states/eV/cell.

Cell: 5.8366 5.9921 11.1150 Å, 90.00 90.00 90.00°
Space group Fmmm (No. 69)
Inequivalent atoms, fractional coordinates:
Tl  0.0000  0.0000  0.0000 [4 per cell]
As  0.0000  0.2500  0.2500 [8 per cell]
Br  0.0000  0.0000  0.5000 [4 per cell]

---

--- B ---
The following is a DFT calculation (GGA-PBEsol) of crystalline TlAs2Br at its relaxed geometry.

The density is 7.95 g/cm3. As for the density of states at the Fermi level: 1.9 states/eV/cell.

Cell: 3.2722 5.2047 5.3261 Å, 90.00 90.00 90.00°
Space group Pmmm (No. 47)
Inequivalent atoms, fractional coordinates:
Tl  0.0000  0.0000  0.0000 [1 per cell]
As  0.0000  0.5000  0.5000 [1 per cell]
As  0.5000  0.0000  0.5000 [1 per cell]
Br  0.5000  0.5000  0.0000 [1 per cell]

---

--- C ---
The following is a DFT calculation (GGA-PBEsol) of crystalline TlAs2Br at its relaxed geometry.

The density is 6.78 g/cm3. As for the density of states at the Fermi level: 0.5 states/eV/cell.

Cell: 11.6954 3.7148 4.9212 Å, 90.00 96.12 90.00°
Space group C2/m (No. 12)
Inequivalent atoms, fractional coordinates:
Tl  0.0000  0.0000  0.0000 [2 per cell]
As  0.2307  0.0000  0.1590 [4 per cell]
Br  0.0000  0.5000  0.5000 [2 per cell]

---

--- D ---
The following is a DFT calculation (GGA-PBEsol) of crystalline TlAs2Br at its relaxed geometry.

The density is 7.84 g/cm3. As for the density of states at the Fermi level: 4.4 states/eV/cell.

Cell: 3.4017 4.8928 11.0502 Å, 90.00 90.00 90.00°
Space group Immm (No. 71)
Inequivalent atoms, fractional coordinates:
Tl  0.0000  0.0000  0.0000 [2 per cell]
As  0.0000  0.5000  0.2749 [4 per cell]
Br  0.0000  0.0000  0.5000 [2 per cell]

---

Which is the most stable structure? C is the most stable.

---

--- A ---
The following is a DFT calculation (GGA-PBEsol) of crystalline AsW2Br at its relaxed geometry.

The density is 11.50 g/cm3. As for the density of states at the Fermi level: 11.6 states/eV/cell.

Cell: 3.0414 3.0414 28.2585 Å, 90.00 90.00 120.00°
Space group R3m (No. 160, hexagonal axes)
Inequivalent atoms, fractional coordinates:
As  0.0000  0.0000  0.0000 [3 per cell]
W  0.0000  0.0000  0.2655 [3 per cell]
W  0.0000  0.0000  0.5238 [3 per cell]
Br  0.0000  0.0000  0.7882 [3 per cell]

---

--- B ---
The following is a DFT calculation (GGA-PBEsol) of crystalline AsW2Br at its relaxed geometry.

The density is 13.43 g/cm3. As for the density of states at the Fermi level: 7.2 states/eV/cell.

Cell: 3.0075 3.0075 24.7370 Å, 90.00 90.00 120.00°
Space group R-3m (No. 166, hexagonal axes)
Inequivalent atoms, fractional coordinates:
As  0.0000  0.0000  0.0000 [3 per cell]
W  0.0000  0.0000  0.2546 [6 per cell]
Br  0.0000  0.0000  0.5000 [3 per cell]

---

--- C ---
The following is a DFT calculation (GGA-PBEsol) of crystalline AsW2Br at its relaxed geometry.

The density is 13.23 g/cm3. As for the density of states at the Fermi level: 6.3 states/eV/cell.

Cell: 4.1203 4.1203 7.7237 Å, 90.00 90.00 90.00°
Space group I-4m2 (No. 119)
Inequivalent atoms, fractional coordinates:
As  0.0000  0.0000  0.0000 [2 per cell]
W  0.0000  0.0000  0.5000 [2 per cell]
W  0.0000  0.5000  0.7500 [2 per cell]
Br  0.0000  0.5000  0.2500 [2 per cell]

---

Which is the most stable structure? A is the most stable.